{"formula": "SiSI2Cl", "functional": "PBE", "state": "relaxed", "n_ef_per_ev_cell": 4.12, "spacegroup": "No. 123", "dft_energy_ev_per_atom": -2.527, "formation_energy_uncorrected_mev_per_atom": 372.9, "lattice": [[5.621, 0.000, 0.000], [0.000, 5.621, 0.000], [0.000, 0.000, 4.761]], "species": ["Si", "S", "I", "I", "Cl"], "fractional_positions": [[0.000, 0.000, 0.000], [0.500, 0.500, 0.500], [0.000, 0.500, 0.000], [0.500, 0.000, 0.000], [0.000, 0.000, 0.500]]}

---

{"formula": "SiSICl2", "functional": "PBE", "state": "relaxed", "n_ef_per_ev_cell": 1.27, "spacegroup": "No. 123", "dft_energy_ev_per_atom": -2.938, "de_polymorph_mev_per_atom": 0, "formation_energy_uncorrected_mev_per_atom": 21.2, "lattice": [[4.608, 0.000, 0.000], [0.000, 4.608, 0.000], [0.000, 0.000, 5.406]], "species": ["Si", "S", "I", "Cl", "Cl"], "fractional_positions": [[0.000, 0.000, 0.000], [0.000, 0.000, 0.500], [0.500, 0.500, 0.500], [0.000, 0.500, 0.000], [0.500, 0.000, 0.000]]}

---

{"formula": "SiSICl2", "functional": "PBE", "state": "relaxed", "n_ef_per_ev_cell": 2.96, "spacegroup": "No. 123", "dft_energy_ev_per_atom": -2.141, "de_polymorph_mev_per_atom": 797, "formation_energy_uncorrected_mev_per_atom": 817.8, "lattice": [[5.435, 0.000, 0.000], [0.000, 5.435, 0.000], [0.000, 0.000, 5.213]], "species": ["Si", "S", "I", "Cl", "Cl"], "fractional_positions": [[0.000, 0.000, 0.000], [0.500, 0.500, 0.000], [0.500, 0.500, 0.500], [0.000, 0.500, 0.500], [0.500, 0.000, 0.500]]}

---

{"formula": "SiS2ICl", "functional": "PBE", "state": "relaxed", "n_ef_per_ev_cell": 4.91, "spacegroup": "No. 123", "dft_energy_ev_per_atom": -3.159, "de_polymorph_mev_per_atom": 0, "formation_energy_uncorrected_mev_per_atom": 255.7, "lattice": [[4.763, 0.000, 0.000], [0.000, 4.763, 0.000], [0.000, 0.000, 4.637]], "species": ["Si", "S", "S", "I", "Cl"], "fractional_positions": [[0.000, 0.000, 0.000], [0.000, 0.500, 0.000], [0.500, 0.000, 0.000], [0.500, 0.500, 0.500], [0.000, 0.000, 0.500]]}

---

{"formula": "SnSICl2", "functional": "PBE", "state": "relaxed", "n_ef_per_ev_cell": 2.45, "spacegroup": "No. 123", "dft_energy_ev_per_atom": -2.773, "de_polymorph_mev_per_atom": 0, "formation_energy_uncorrected_mev_per_atom": -98.3, "lattice": [[5.074, 0.000, 0.000], [0.000, 5.074, 0.000], [0.000, 0.000, 5.521]], "species": ["Sn", "S", "I", "Cl", "Cl"], "fractional_positions": [[0.000, 0.000, 0.000], [0.000, 0.000, 0.500], [0.500, 0.500, 0.500], [0.000, 0.500, 0.000], [0.500, 0.000, 0.000]]}

---

{"formula": "SnSICl2", "functional": "PBE", "state": "relaxed", "n_ef_per_ev_cell": 3.10, "spacegroup": "No. 123", "dft_energy_ev_per_atom": -2.344, "de_polymorph_mev_per_atom": 429, "formation_energy_uncorrected_mev_per_atom": 330.9, "lattice": [[5.489, 0.000, 0.000], [0.000, 5.489, 0.000], [0.000, 0.000, 5.215]], "species": ["Sn", "S", "I", "Cl", "Cl"], "fractional_positions": [[0.000, 0.000, 0.000], [0.500, 0.500, 0.000], [0.500, 0.500, 0.500], [0.000, 0.500, 0.500], [0.500, 0.000, 0.500]]}

---

Question: What is the formula in the second record?
Answer: SiSICl2